[1]
The following is a PBE-GGA calculation of crystalline AlTlRh2 at its relaxed geometry, from Alexandria.

Values from the calculation:
space group: Cm (8)

a b c (Å): 5.1350 5.1350 4.5231
angles (deg): 104.45 104.45 34.81
Positions (direct):
Al: 0.0000 0.0000 0.0000
Tl: 0.2383 0.2383 0.6073
Rh: 0.4902 0.4902 0.4753
Rh: 0.7232 0.7232 0.0945

=====

[2]
The following is a PBE-GGA calculation of crystalline Al2TlRh at its relaxed geometry, from Alexandria.

Values from the calculation:
space group: R3m (160)
distance to the lowest polymorph of the same formula: 0.308 eV/atom

a b c (Å): 8.9028 8.9028 8.9028
angles (deg): 20.28 20.28 20.28
Positions (direct):
Al: 0.0000 0.0000 0.0000
Al: 0.2492 0.2492 0.2492
Tl: 0.7642 0.7642 0.7642
Rh: 0.5174 0.5174 0.5174

=====

[3]
The following is a PBE-GGA calculation of crystalline AlTl2Rh at its relaxed geometry, from Alexandria.

Values from the calculation:
space group: R-3m (166)
distance to the lowest polymorph of the same formula: 0.428 eV/atom

a b c (Å): 9.1176 9.1176 9.1176
angles (deg): 21.10 21.10 21.10
Positions (direct):
Al: 0.0000 0.0000 0.0000
Tl: 0.2426 0.2426 0.2426
Tl: 0.7574 0.7574 0.7574
Rh: 0.5000 0.5000 0.5000

=====

Number 1: DOS at the Fermi energy 2.8 states/eV/cell, formation enthalpy at 0 K -239 meV per atom, E -5.442 eV/atom. Number 2: DOS at the Fermi energy 2.2 states/eV/cell, formation enthalpy at 0 K -51 meV per atom, E -4.351 eV/atom. Number 3: DOS at the Fermi energy 2.7 states/eV/cell, formation enthalpy at 0 K 259 meV per atom, E -3.698 eV/atom.